(1)
First-principles (PBE) data for crystalline SnAs3Os at its relaxed geometry, as listed in the Alexandria database.

a = 4.8661 Å, b = 4.8661 Å, c = 4.8661 Å
α = 90.00°, β = 90.00°, γ = 90.00°
Closest atoms and distances in Å follow each position.
Space group Pm-3m (No. 221)
Inequivalent atoms, fractional coordinates:
Sn1 0.0000 0.0000 0.0000  12 As 3.44
As1 0.0000 0.5000 0.5000  2 Os 2.43
Os1 0.5000 0.5000 0.5000  6 As 2.43

E above lowest polymorph: 0.000 eV/atom
mass density: 7.692 g cm⁻³

***

(2)
First-principles (PBE) data for crystalline SnAsOs at its relaxed geometry, as listed in the Alexandria database.

a = 3.1406 Å, b = 5.9703 Å, c = 6.4329 Å
α = 90.00°, β = 90.00°, γ = 90.00°
Closest atoms and distances in Å follow each position.
Space group Pmn2_1 (No. 31)
Inequivalent atoms, fractional coordinates:
Sn1 0.0000 0.0657 0.0000  3 Os 2.73-2.76, 1 As 2.89
As1 0.0000 0.4445 0.2786  3 Os 2.44
Os1 0.0000 0.2874 0.6287  3 As 2.44, 1 Sn 2.73

mass density: 10.569 g cm⁻³

***

(3)
First-principles (PBE) data for crystalline Sn2AsOs at its relaxed geometry, as listed in the Alexandria database.

a = 6.1805 Å, b = 6.1805 Å, c = 12.0789 Å
α = 90.00°, β = 90.00°, γ = 90.00°
Closest atoms and distances in Å follow each position.
Space group I-42d (No. 122)
Inequivalent atoms, fractional coordinates:
Sn1 0.2289 0.2500 0.1250  2 Os 2.58, 2 As 2.73
As1 0.0000 0.0000 0.5000  4 Sn 2.73
Os1 0.0000 0.0000 0.0000  4 Sn 2.58

mass density: 7.235 g cm⁻³

***

(4)
First-principles (PBE) data for crystalline SnAsOs2 at its relaxed geometry, as listed in the Alexandria database.

a = 6.3728 Å, b = 6.3728 Å, c = 6.3728 Å
α = 90.00°, β = 90.00°, γ = 90.00°
Closest atoms and distances in Å follow each position.
Space group Fm-3m (No. 225)
Inequivalent atoms, fractional coordinates:
Sn1 0.0000 0.0000 0.0000  8 Os 2.76
As1 0.0000 0.0000 0.5000  8 Os 2.76
Os1 0.2500 0.2500 0.2500  4 As 2.76, 4 Sn 2.76

E above lowest polymorph: 0.000 eV/atom
mass density: 14.734 g cm⁻³

***

(5)
First-principles (PBE) data for crystalline SnAsOs2 at its relaxed geometry, as listed in the Alexandria database.

a = 5.8534 Å, b = 5.8534 Å, c = 10.9753 Å
α = 90.00°, β = 90.00°, γ = 90.00°
Closest atoms and distances in Å follow each position.
Space group I-42d (No. 122)
Inequivalent atoms, fractional coordinates:
Sn1 0.0000 0.0000 0.0000  4 Os 2.61
As1 0.0000 0.0000 0.5000  4 Os 2.36
Os1 0.2140 0.2500 0.6250  2 As 2.36, 2 Sn 2.61

E above lowest polymorph: 0.430 eV/atom
mass density: 10.140 g cm⁻³

***

(6)
First-principles (PBE) data for crystalline SnAs2Os at its relaxed geometry, as listed in the Alexandria database.

a = 6.0591 Å, b = 6.0591 Å, c = 11.2699 Å
α = 90.00°, β = 90.00°, γ = 90.00°
Closest atoms and distances in Å follow each position.
Space group I-42d (No. 122)
Inequivalent atoms, fractional coordinates:
Sn1 0.0000 0.0000 0.0000  4 As 2.78
As1 0.1930 0.2500 0.6250  2 Os 2.38
Os1 0.0000 0.0000 0.5000  4 As 2.38

mass density: 7.365 g cm⁻³

***

(7)
First-principles (PBE) data for crystalline TcSnAsOs2 at its relaxed geometry, as listed in the Alexandria database.

a = 4.7186 Å, b = 4.7186 Å, c = 4.9875 Å
α = 90.00°, β = 90.00°, γ = 90.00°
Closest atoms and distances in Å follow each position.
Space group P4/mmm (No. 123)
Inequivalent atoms, fractional coordinates:
Tc1 0.0000 0.0000 0.0000  4 Os 2.36, 2 Sn 2.49
Sn1 0.0000 0.0000 0.5000  2 Tc 2.49
As1 0.5000 0.5000 0.5000  4 Sn 3.34, 8 Os 3.43
Os1 0.0000 0.5000 0.0000  2 Tc 2.36

mass density: 10.050 g cm⁻³

***

(8)
First-principles (PBE) data for crystalline TlSnAs2Os at its relaxed geometry, as listed in the Alexandria database.

a = 5.1781 Å, b = 5.1781 Å, c = 5.6215 Å
α = 90.00°, β = 90.00°, γ = 90.00°
Closest atoms and distances in Å follow each position.
Space group P4/mmm (No. 123)
Inequivalent atoms, fractional coordinates:
Tl1 0.0000 0.0000 0.0000  4 As 2.59, 2 Sn 2.81
Sn1 0.0000 0.0000 0.5000  2 Tl 2.81
As1 0.0000 0.5000 0.0000  2 Tl 2.59
Os1 0.5000 0.5000 0.5000  4 Sn 3.66, 8 As 3.82

mass density: 7.306 g cm⁻³

***

(9)
First-principles (PBE) data for crystalline SrAs2Os at its relaxed geometry, as listed in the Alexandria database.

a = 6.8419 Å, b = 6.8419 Å, c = 6.8419 Å
α = 90.00°, β = 90.00°, γ = 90.00°
Closest atoms and distances in Å follow each position.
Space group F-43m (No. 216)
Inequivalent atoms, fractional coordinates:
Sr1 0.0000 0.0000 0.0000  4 Os 2.96, 4 As 2.96
As1 0.0000 0.0000 0.5000  4 As 2.96, 4 Os 2.96
As2 0.2500 0.2500 0.2500  4 As 2.96, 4 Sr 2.96
Os1 0.2500 0.2500 0.7500  4 As 2.96, 4 Sr 2.96

E above lowest polymorph: 1.018 eV/atom
mass density: 8.870 g cm⁻³

***

(10)
First-principles (PBE) data for crystalline Sr2AsOs at its relaxed geometry, as listed in the Alexandria database.

a = 3.6204 Å, b = 3.6204 Å, c = 27.7954 Å
α = 90.00°, β = 90.00°, γ = 120.00°
Closest atoms and distances in Å follow each position.
Space group R-3m (No. 166, hexagonal axes)
Inequivalent atoms, fractional coordinates:
Sr1 0.0000 0.0000 0.2471  3 Os 3.06, 3 As 3.18
As1 0.0000 0.0000 0.0000  6 Sr 3.18
Os1 0.0000 0.0000 0.5000  6 Sr 3.06

mass density: 6.953 g cm⁻³

***

(11)
First-principles (PBE) data for crystalline SrAs2Os at its relaxed geometry, as listed in the Alexandria database.

a = 3.3229 Å, b = 4.1714 Å, c = 6.1336 Å
α = 90.00°, β = 90.07°, γ = 90.00°
Closest atoms and distances in Å follow each position.
Space group P2/m (No. 10)
Inequivalent atoms, fractional coordinates:
Sr1 0.0000 0.0000 0.0000  8 As 3.18, 2 Sr 3.32, 4 Os 3.49
As1 0.4992 0.5000 0.7178  2 Os 2.48, 1 As 2.67
Os1 0.5000 0.0000 0.5000  4 As 2.48

E above lowest polymorph: 0.274 eV/atom
mass density: 8.353 g cm⁻³

***

(12)
First-principles (PBE) data for crystalline SrAs2Os at its relaxed geometry, as listed in the Alexandria database.

a = 6.0675 Å, b = 7.3278 Å, c = 3.5944 Å
α = 90.00°, β = 90.00°, γ = 90.00°
Closest atoms and distances in Å follow each position.
Space group Cmmm (No. 65)
Inequivalent atoms, fractional coordinates:
Sr1 0.0000 0.0000 0.0000  8 As 2.98, 2 Os 3.03
As1 0.2500 0.2500 0.5000  4 Os 2.98, 4 Sr 2.98, 2 As 3.03
Os1 0.0000 0.5000 0.0000  8 As 2.98, 2 Sr 3.03

E above lowest polymorph: 0.784 eV/atom
mass density: 8.888 g cm⁻³

***

(13)
First-principles (PBE) data for crystalline SrAs2Os at its relaxed geometry, as listed in the Alexandria database.

a = 3.2136 Å, b = 3.2855 Å, c = 7.3718 Å
α = 90.00°, β = 90.00°, γ = 90.00°
Closest atoms and distances in Å follow each position.
Space group Pmmm (No. 47)
Inequivalent atoms, fractional coordinates:
Sr1 0.0000 0.0000 0.0000  4 Sr 3.21-3.29, 8 As 3.22
As1 0.5000 0.5000 0.3052  4 Os 2.71, 1 As 2.87
Os1 0.0000 0.0000 0.5000  8 As 2.71

E above lowest polymorph: 0.414 eV/atom
mass density: 9.125 g cm⁻³

***

(14)
First-principles (PBE) data for crystalline SrAs2Os at its relaxed geometry, as listed in the Alexandria database.

a = 9.9236 Å, b = 3.6774 Å, c = 5.4325 Å
α = 90.00°, β = 106.51°, γ = 90.00°
Closest atoms and distances in Å follow each position.
Space group Cm (No. 8)
Inequivalent atoms, fractional coordinates:
Sr1 0.0000 0.0000 0.0000  8 As 3.27-3.58, 4 Os 3.42-3.51
As1 0.0420 0.5000 0.5153  2 Os 2.54, 1 As 2.82
As2 0.2960 0.5000 0.3790  2 Os 2.42
Os1 0.2267 0.0000 0.6072  4 As 2.42-2.54

E above lowest polymorph: 0.335 eV/atom
mass density: 7.473 g cm⁻³

***

Across the entries above, E_form takes the values 0.599 0.042 0.610 0.523 0.952 0.281 1.698 2.045 0.606 0.454 -0.137 0.372 0.002 -0.077 eV/atom, respectively.